No. 1
AsOsAu2 | PBE-GGA | optimized geometry

abc: 2.8087 2.8087 8.8258
angles: 90.00 90.00 90.00
Atoms (fractional coordinates):
Au 0.0000 0.0000 0.4836
Au 0.0000 0.0000 0.0164
As 0.5000 0.5000 0.7500
Os 0.5000 0.5000 0.2500

Density of states at the Fermi level = 0.9732 states/eV per atom

---

No. 2
AsOsAu2 | PBE-GGA | optimized geometry

abc: 9.5064 9.5064 9.5064
angles: 17.61 17.61 17.61
Each line ends with the local moment (μB).
Atoms (fractional coordinates):
As 0.7500 0.7500 0.7500  0.01
Au 0.5018 0.5018 0.5018  0.04
Au 0.9982 0.9982 0.9982  0.04
Os 0.2500 0.2500 0.2500  0.63

Density of states at the Fermi level = 1.0104 states/eV per atom

---

No. 3
As2OsAu | PBE-GGA | optimized geometry

abc: 6.7350 6.7350 6.7350
angles: 154.59 145.66 43.21
Atoms (fractional coordinates):
As 0.7783 0.2783 0.5000
As 0.0614 0.0614 0.0000
Os 0.2215 0.7215 0.5000
Au 0.4389 0.4389 0.0000

Offset from the most stable computed form = 0.26 eV/f.u.
Density of states at the Fermi level = 0.3866 states/eV per atom

---

No. 4
As2OsAu | PBE-GGA | optimized geometry

abc: 6.3193 6.3193 6.3193
angles: 153.35 136.11 52.09
Atoms (fractional coordinates):
Au 0.7500 0.2500 0.5000
As 0.0706 0.0706 0.0000
As 0.4294 0.4294 0.0000
Os 0.2500 0.7500 0.5000

Offset from the most stable computed form = 0.36 eV/f.u.
Density of states at the Fermi level = 0.8134 states/eV per atom

---

No. 5
AsOsAu2 | PBE-GGA | optimized geometry

abc: 4.4638 3.8963 3.8963
angles: 90.00 90.00 90.00
Atoms (fractional coordinates):
As 0.5000 0.0000 0.5000
Au 0.0000 0.5000 0.5000
Au 0.0000 0.0000 0.0000
Os 0.5000 0.5000 0.0000

Density of states at the Fermi level = 0.8978 states/eV per atom

---

No. 6
AsOsAu2 | PBE-GGA | optimized geometry

abc: 6.4096 6.4096 6.4096
angles: 151.78 144.70 45.79
Atoms (fractional coordinates):
As 0.2500 0.7500 0.5000
Os 0.7500 0.2500 0.5000
Au 0.0566 0.0566 0.0000
Au 0.4434 0.4434 0.0000

Density of states at the Fermi level = 0.8193 states/eV per atom

---

Number 1: calculated volume 17.406 Å³/atom, final energy -5.020 eV/atom, size of the total moment 0.0 μB/f.u.. Number 2: calculated volume 17.156 Å³/atom, final energy -5.050 eV/atom, size of the total moment 0.8 μB/f.u.. Number 3: calculated volume 18.445 Å³/atom, final energy -5.664 eV/atom, size of the total moment 0.0 μB/f.u.. Number 4: calculated volume 19.529 Å³/atom, final energy -5.637 eV/atom, size of the total moment 0.0 μB/f.u.. Number 5: calculated volume 16.942 Å³/atom, final energy -4.954 eV/atom, size of the total moment 0.0 μB/f.u.. Number 6: calculated volume 17.929 Å³/atom, final energy -5.079 eV/atom, size of the total moment 0.0 μB/f.u..